1.
NaBMo2Os | Alexandria | PBE | relaxed; energy of formation from the pure elements = 3.498 eV/atom; SG = No. 123
1.0
4.4368 0.0000 0.0000
0.0000 4.4427 0.0000
0.0000 0.0000 4.4368
Mo Na Os B
2 1 1 1
Direct
0.5000 0.0000 0.0000
0.0000 0.0000 0.5000
0.0000 0.0000 0.0000
0.0000 0.5000 0.0000
0.5000 0.5000 0.5000

2.
NaBMo2Pd | Alexandria | PBE | relaxed; energy of formation from the pure elements = 2.624 eV/atom; SG = No. 123
1.0
4.6050 0.0000 0.0000
0.0000 3.9170 0.0000
0.0000 0.0000 4.6050
Mo Na Pd B
2 1 1 1
Direct
0.5000 0.0000 0.0000
0.0000 0.0000 0.5000
0.0000 0.0000 0.0000
0.5000 0.5000 0.5000
0.0000 0.5000 0.0000

3.
NaB2MoPt | Alexandria | PBE | relaxed; energy of formation from the pure elements = 2.544 eV/atom; SG = No. 123
1.0
-3.9083 0.9389 -0.9066
0.8533 -0.6423 -4.3436
-1.0419 -3.9682 0.3821
Mo B Na Pt
1 2 1 1
Direct
0.5000 0.5000 0.5000
0.0000 0.0000 0.5000
0.5000 0.0000 0.0000
0.0000 0.0000 0.0000
0.0000 0.5000 0.0000

For reference, calculated total energy by record: -23.397; -21.732; -18.828 eV per cell.
For reference, total magnetic moment by record: 2.129; 2.383; 0.019 Bohr magnetons per cell.